VASP calculation (PBE-GGA) on crystalline Li2BeH6Ir at its relaxed geometry.

Computed properties:
The value obtained for the electronic total energy is -3.888 eV/atom. As for the magnetization: 0.0 μB per cell.

a b c (Å): 4.7393 4.7393 24.9096
angles (deg): 90.00 90.00 120.00
Space group R-3m (No. 166, hexagonal axes)
One atom of each set of equivalent atoms:
Li (0.0000, 0.0000, 0.1253)
Li (0.0000, 0.0000, 0.3087)
Be (0.0000, 0.0000, 0.4096)
H (0.0048, 0.5024, 0.1258)
H (0.0135, 0.5067, 0.2931)
Ir (0.0000, 0.0000, 0.0000)
Ir (0.0000, 0.0000, 0.5000)



VASP calculation (PBE-GGA) on crystalline BeNi2HIr at its relaxed geometry.

Computed properties:
The value obtained for the electronic total energy is -5.585 eV/atom. As for the magnetization: 0.0 μB per cell. For the energy relative to the lowest polymorph listed for this composition, the calculation gives 21 meV per atom.

a b c (Å): 3.4563 3.4563 3.9118
angles (deg): 90.00 90.00 90.00
Space group P4/mmm (No. 123)
One atom of each set of equivalent atoms:
Be (0.0000, 0.0000, 0.0000)
Ni (0.0000, 0.5000, 0.5000)
H (0.0000, 0.0000, 0.5000)
Ir (0.5000, 0.5000, 0.0000)



VASP calculation (PBE-GGA) on crystalline BeNi2HIr at its relaxed geometry.

Computed properties:
The value obtained for the electronic total energy is -5.606 eV/atom. As for the magnetization: 0.8 μB per cell. For the energy relative to the lowest polymorph listed for this composition, the calculation gives 0 meV per atom.

a b c (Å): 3.5120 3.5120 3.8648
angles (deg): 90.00 90.00 90.00
Space group P4/mmm (No. 123)
One atom of each set of equivalent atoms:
Be (0.0000, 0.0000, 0.0000)
Ni (0.0000, 0.5000, 0.5000)
H (0.5000, 0.5000, 0.5000)
Ir (0.5000, 0.5000, 0.0000)